Entry from Alexandria: an optimized crystal structure of InP2PbO8 (PBE).

The structure in extended XYZ format:
```
48
Lattice="-3.1939 2.4907 5.3811 4.8520 -7.7888 2.7210 8.9835 6.4208 2.3601" Properties=species:S:1:pos:R:3 pbc="T T T"
O 2.0593 4.7252 4.9634
O 6.4081 0.4760 4.2831
O 4.2336 0.6468 6.1792
O 8.5824 -3.6025 5.4989
O 10.5321 -0.7000 6.8987
O 5.9051 2.9607 2.6202
O 5.9709 -4.9028 4.2070
O 9.1837 2.0625 7.3148
O 5.6511 -2.2315 2.6324
O 1.9179 0.2154 5.5292
O 1.4580 -0.9397 3.1475
O -0.9565 1.0052 6.2180
O 4.9905 3.3543 7.8298
O -0.1034 0.7886 1.2065
O 8.6007 4.4257 7.8907
O 0.1096 1.8228 3.5635
O 6.8937 -0.5723 7.3045
O 2.0410 -3.3029 2.5716
O 3.7479 1.6950 3.1578
O 8.7238 0.9074 4.9331
O 4.8501 3.3096 4.8584
O 8.2256 -1.2810 3.7109
O 4.7366 -1.8380 7.8421
O 8.9014 4.1043 3.9987
O 2.4161 2.4038 6.7514
O 11.5981 0.1176 4.2442
O 3.4519 -4.8710 4.6366
O 7.1898 5.9938 5.8257
O 10.7451 0.3342 9.2557
O 5.7916 -2.1868 5.6039
O 4.6708 6.0256 6.2552
O 1.7402 -2.9815 6.4636
P 2.7562 0.9002 6.6193
P 5.8759 6.8013 5.7020
P 6.1071 -1.8824 7.0985
P 1.3810 -2.0187 2.0237
P 4.5346 3.0052 3.3637
P 7.8854 0.2225 3.8430
P 4.7658 -5.6786 4.7603
P 9.2607 3.1415 8.4386
In 10.6147 1.2282 5.8600
In 0.0270 -0.1055 4.6023
In 7.0724 -3.0850 4.0663
In 3.5693 4.2077 6.3960
Pb 7.3404 5.4268 2.8625
Pb 4.1515 -0.4547 3.9899
Pb 3.3013 -4.3040 7.5998
Pb 6.4902 1.5775 6.4724
```

## Properties
total energy = -0.484 Ry per atom
symmetry = P2_1/c
energy relative to the lowest polymorph listed for this composition = 0.00 eV/f.u.

=====

Entry from Alexandria: an optimized crystal structure of PmInP2O8 (PBE).

The structure in extended XYZ format:
```
12
Lattice="-0.8183 -4.9755 -1.2631 -0.3200 1.5077 4.9644 -6.8201 1.3363 -0.8455" Properties=species:S:1:pos:R:3 pbc="T T T"
P -5.8432 0.3963 2.2245
P -2.1152 -2.5278 0.6314
O -7.4441 -1.4837 -0.0292
O -2.2759 -1.0487 0.1935
O -5.6825 -1.0828 2.6624
O -0.5143 -0.6478 2.8851
O -5.1227 0.6424 0.8733
O -2.6711 -3.4792 -0.4601
O -5.2873 1.3477 3.3159
O -2.8357 -2.7739 1.9825
In -3.4101 0.6681 -0.4227
Pm 0.0000 0.0000 0.0000
```

## Properties
total energy = -0.533 Ry per atom
symmetry = P-3

=====

Entry from Alexandria: an optimized crystal structure of PrInP2O8 (PBE).

The structure in extended XYZ format:
```
12
Lattice="5.1558 0.0000 0.0000 -2.5779 4.4650 0.0000 0.0000 0.0000 7.1334" Properties=species:S:1:pos:R:3 pbc="T T T"
P 2.5779 1.4883 1.5903
P 0.0000 2.9767 5.5432
O 2.5779 1.4883 0.0529
O 2.8209 2.9419 2.0706
O -0.2430 1.5232 5.0628
O 1.3803 3.4930 5.0628
O -1.1373 3.9139 5.0628
O 3.7151 0.5511 2.0706
O 1.1976 0.9721 2.0706
O 0.0000 2.9767 7.0805
In 0.0000 0.0000 3.5667
Pr 0.0000 0.0000 0.0000
```

## Properties
total energy = -0.534 Ry per atom
symmetry = P-3

=====

Entry from Alexandria: an optimized crystal structure of InP2PtO (PBE).

The structure in extended XYZ format:
```
5
Lattice="-2.3293 3.9596 -1.8561 -4.3343 -2.3694 0.3846 -0.4490 1.3965 3.5428" Properties=species:S:1:pos:R:3 pbc="T T T"
In -3.5563 1.4933 1.0357
Pt 0.0000 0.0000 0.0000
P -1.1646 1.9798 -0.9280
P -2.1672 -1.1847 0.1923
O -0.2245 0.6983 1.7714
```

## Properties
total energy = -0.339 Ry per atom
symmetry = P4/mmm
energy relative to the lowest polymorph listed for this composition = 0.00 eV/f.u.

=====

Entry from Alexandria: an optimized crystal structure of InPPtO2 (PBE).

The structure in extended XYZ format:
```
5
Lattice="3.9497 0.0000 0.0000 0.0000 3.9497 0.0000 0.0000 0.0000 5.0536" Properties=species:S:1:pos:R:3 pbc="T T T"
Pt 0.0000 0.0000 0.0000
P 0.0000 0.0000 2.5268
In 1.9749 1.9749 2.5268
O 1.9749 0.0000 0.0000
O 0.0000 1.9749 0.0000
```

## Properties
total energy = -0.357 Ry per atom
symmetry = P4/mmm
energy relative to the lowest polymorph listed for this composition = 0.00 eV/f.u.

=====

Entry from Alexandria: an optimized crystal structure of InPPtO2 (PBE).

The structure in extended XYZ format:
```
5
Lattice="3.8306 0.0000 0.0000 0.0000 3.8306 0.0000 0.0000 0.0000 7.4612" Properties=species:S:1:pos:R:3 pbc="T T T"
Pt 1.9153 1.9153 3.7306
O 1.9153 0.0000 0.0000
O 0.0000 1.9153 0.0000
In 0.0000 0.0000 0.0000
P 0.0000 0.0000 3.7306
```

## Properties
total energy = -0.330 Ry per atom
symmetry = P4/mmm
energy relative to the lowest polymorph listed for this composition = 1.84 eV/f.u.

=====

In the order shown, the computed D(E_F) values come out to 31.86 0.00 0.00 4.85 4.63 3.53 states/eV per cell.
In the order shown, the computed energy relative to the elements, uncorrected values come out to -1841 -2421 -2428 293 -36 332 meV per atom.